Below is a geometry-optimized Sm4BrN2Cl4 structure, with properties calculated at the PBE-GGA level.

Cell lengths 9.273, 9.273, 8.150 Å; angles 105.82, 105.82, 22.46 degrees
Atoms (fractional coordinates):
Cl1 0.841 0.841 0.129
Cl2 0.159 0.159 0.871
Cl3 0.833 0.833 0.668
Cl4 0.167 0.167 0.332
Sm1 0.999 0.999 0.302
Sm2 0.001 0.001 0.698
Sm3 0.668 0.668 0.610
Sm4 0.332 0.332 0.390
Br1 0.500 0.500 0.000
N1 0.540 0.540 0.525
N2 0.460 0.460 0.475

Properties
symmetry: C2/m
crystal system: monoclinic
total energy: -5.7047 eV/atom